BaPd2Rh2: optimized geometry, PBE.

Results
Energy above the most stable polymorph in this dataset ... 64 meV/atom
Energy ... -53.08 eV for the cell shown
DFT formation energy ... 0.09 eV per atom
Magnetization ... 1.4 μB per cell

Cell: 7.9503 7.9503 2.9916 Å, 90.00 90.00 90.00°
Space group P4/mbm (No. 127)
Unique sites:
Ba 0.0000 0.0000 0.0000 x2
Pd 0.1797 0.3203 0.5000 x4
Rh 0.1157 0.6157 0.0000 x4

Ba6PdRh2: optimized geometry, PBE.

Results
Energy above the most stable polymorph in this dataset ... 0 meV/atom
Energy ... -33.54 eV for the cell shown
DFT formation energy ... -0.23 eV per atom
Magnetization ... 0.0 μB per cell

Cell: 7.7818 7.7818 7.3730 Å, 90.00 90.00 120.00°
Space group P-31m (No. 162)
Unique sites:
Ba 0.0000 0.3413 0.2377 x6
Pd 0.0000 0.0000 0.5000 x1
Rh 0.3333 0.6667 0.0000 x2

Ba8Pd2Rh: optimized geometry, PBE.

Results
Energy above the most stable polymorph in this dataset ... 43 meV/atom
Energy ... -70.83 eV for the cell shown
DFT formation energy ... -0.21 eV per atom
Magnetization ... 0.0 μB per cell

Cell: 16.7150 8.6815 7.7795 Å, 90.00 110.05 90.00°
Space group C2/m (No. 12)
Unique sites:
Ba 0.1075 0.0000 0.4091 x4
Ba 0.1224 0.2412 0.9296 x8
Ba 0.1304 0.5000 0.4324 x4
Pd 0.2489 0.5000 0.1988 x4
Rh 0.0000 0.0000 0.0000 x2

Ba14Pd6Rh3: optimized geometry, PBE.

Results
Energy ... -87.61 eV for the cell shown
DFT formation energy ... -0.33 eV per atom
Magnetization ... 0.0 μB per cell

Cell: 11.1736 11.1736 7.8935 Å, 90.00 90.00 120.00°
Space group P3 (No. 143)
Unique sites:
Ba 0.0000 0.0000 0.0000 x1
Ba 0.0800 0.5403 0.7275 x3
Ba 0.2030 0.4065 0.2513 x3
Ba 0.2545 0.1274 0.5719 x3
Ba 0.4141 0.2066 0.0663 x3
Ba 0.6667 0.3333 0.4906 x1
Pd 0.1465 0.2952 0.8418 x3
Pd 0.5174 0.4817 0.3373 x3
Rh 0.0000 0.0000 0.3657 x1
Rh 0.3333 0.6667 0.4796 x1
Rh 0.6667 0.3333 0.8587 x1

BaPd3Rh: optimized geometry, PBE.

Results
Energy above the most stable polymorph in this dataset ... 1339 meV/atom
Energy ... -17.06 eV for the cell shown
DFT formation energy ... 1.56 eV per atom
Magnetization ... 1.1 μB per cell

Cell: 5.2766 5.2766 5.2766 Å, 90.00 90.00 90.00°
Space group Pm-3m (No. 221)
Unique sites:
Ba 0.0000 0.0000 0.0000 x1
Pd 0.0000 0.0000 0.5000 x3
Rh 0.5000 0.5000 0.5000 x1

BaPd2Rh: optimized geometry, PBE.

Results
Energy above the most stable polymorph in this dataset ... 0 meV/atom
Energy ... -77.90 eV for the cell shown
DFT formation energy ... 0.05 eV per atom
Magnetization ... 0.0 μB per cell

Cell: 5.0219 5.0219 17.4835 Å, 90.00 90.00 90.00°
Space group I-42d (No. 122)
Unique sites:
Ba 0.0000 0.0000 0.0000 x4
Pd 0.0472 0.2500 0.6250 x8
Rh 0.0000 0.0000 0.5000 x4

BaPd2Rh2: optimized geometry, PBE.

Results
Energy above the most stable polymorph in this dataset ... 0 meV/atom
Energy ... -53.72 eV for the cell shown
DFT formation energy ... 0.03 eV per atom
Magnetization ... 0.6 μB per cell

Cell: 4.4918 4.4918 10.4356 Å, 90.00 90.00 90.00°
Space group I4/mmm (No. 139)
Unique sites:
Ba 0.0000 0.0000 0.0000 x2
Pd 0.0000 0.5000 0.2500 x4
Rh 0.0000 0.0000 0.3850 x4

Ba6Pd3Rh: optimized geometry, PBE.

Results
Energy ... -76.03 eV for the cell shown
DFT formation energy ... -0.35 eV per atom
Magnetization ... 0.0 μB per cell

Cell: 7.7868 8.5046 13.8113 Å, 90.00 123.69 90.00°
Space group P2_1/c (No. 14)
Unique sites:
Ba 0.0934 0.0612 0.2456 x4
Ba 0.2402 0.6840 0.0739 x4
Ba 0.3934 0.1743 0.0698 x4
Pd 0.2939 0.1034 0.7523 x4
Pd 0.5000 0.0000 0.5000 x2
Rh 0.0000 0.0000 0.0000 x2

Ba12Pd5Rh3: optimized geometry, PBE.

Results
Energy ... -586.63 eV for the cell shown
DFT formation energy ... -0.11 eV per atom
Magnetization ... 0.0 μB per cell

Cell: 18.6525 18.6525 18.6525 Å, 90.00 90.00 90.00°
Space group Ia-3d (No. 230)
Unique sites:
Ba 0.0207 0.0704 0.6533 x96
Pd 0.0000 0.0000 0.0000 x16
Pd 0.0000 0.2500 0.3750 x24
Rh 0.0000 0.2500 0.1250 x24

Ba2PdRh: optimized geometry, PBE.

Results
Energy ... -65.32 eV for the cell shown
DFT formation energy ... 0.02 eV per atom
Magnetization ... 0.0 μB per cell

Cell: 8.3326 8.3326 6.8666 Å, 90.00 90.00 90.00°
Space group I-42d (No. 122)
Unique sites:
Ba 0.2326 0.2500 0.1250 x8
Pd 0.0000 0.0000 0.5000 x4
Rh 0.0000 0.0000 0.0000 x4

Ba8Pd3Rh: optimized geometry, PBE.

Results
Energy ... -85.15 eV for the cell shown
DFT formation energy ... -0.36 eV per atom
Magnetization ... 0.0 μB per cell

Cell: 9.0939 13.1460 9.1622 Å, 90.00 90.00 90.00°
Space group C222 (No. 21)
Unique sites:
Ba 0.0000 0.2350 0.0000 x4
Ba 0.0000 0.2427 0.5000 x4
Ba 0.2367 0.0073 0.2427 x8
Pd 0.0000 0.0000 0.5000 x2
Pd 0.2500 0.2500 0.2526 x4
Rh 0.0000 0.0000 0.0000 x2

Ba6PdRh2: optimized geometry, PBE.

Results
Energy above the most stable polymorph in this dataset ... 50 meV/atom
Energy ... -66.18 eV for the cell shown
DFT formation energy ... -0.18 eV per atom
Magnetization ... 0.0 μB per cell

Cell: 14.7950 5.9751 10.1267 Å, 90.00 116.93 90.00°
Space group C2/m (No. 12)
Unique sites:
Ba 0.0145 0.0000 0.2062 x4
Ba 0.1499 0.5000 0.5827 x4
Ba 0.2018 0.5000 0.0947 x4
Pd 0.0000 0.0000 0.5000 x2
Rh 0.1830 0.0000 0.1148 x4